Entry 1:
VASP calculation (PBE) on a relaxed structure of LaHPb2.

Computed properties:
**Energy above the lowest structure with this stoichiometry**: 0 meV per atom
**Density of states at the Fermi level**: 0.69 states/eV per atom

Cell lengths 6.274, 6.274, 11.398 Å; angles 90.00, 90.00, 90.00 degrees
Space group I-42d (No. 122)
Symmetry-distinct sites (fractional):
1 La 0.000 0.000 0.000 (multiplicity 4)
2 H 0.000 0.000 0.500 (multiplicity 4)
3 Pb 0.038 0.750 0.625 (multiplicity 8)



Entry 2:
VASP calculation (PBE) on a relaxed structure of SbIBrO2.

Computed properties:
**Energy above the lowest structure with this stoichiometry**: 1023 meV per atom
**Density of states at the Fermi level**: 0.51 states/eV per atom
**Formation energy without anion corrections**: 0.706 eV/atom

Cell lengths 4.168, 4.168, 6.752 Å; angles 90.00, 90.00, 90.00 degrees
Space group P4/mmm (No. 123)
Symmetry-distinct sites (fractional):
1 Sb 0.000 0.000 0.000 (multiplicity 1)
2 I 0.500 0.500 0.000 (multiplicity 1)
3 Br 0.500 0.500 0.500 (multiplicity 1)
4 O 0.000 0.500 0.500 (multiplicity 2)



Entry 3:
VASP calculation (PBE) on a relaxed structure of Ca3Al3Ag8.

Computed properties:
**Density of states at the Fermi level**: 0.48 states/eV per atom
**Energy relative to the elements**: -0.25 eV per atom

Cell lengths 16.312, 4.680, 9.273 Å; angles 90.00, 123.98, 90.00 degrees
Space group C2/m (No. 12)
Symmetry-distinct sites (fractional):
1 Ca 0.000 0.000 0.000 (multiplicity 2)
2 Ca 0.205 0.500 0.693 (multiplicity 4)
3 Al 0.000 0.000 0.500 (multiplicity 2)
4 Al 0.169 0.500 0.008 (multiplicity 4)
5 Ag 0.005 0.500 0.676 (multiplicity 4)
6 Ag 0.130 0.000 0.416 (multiplicity 4)
7 Ag 0.134 0.000 0.847 (multiplicity 4)
8 Ag 0.159 0.500 0.280 (multiplicity 4)



Entry 4:
VASP calculation (PBE) on a relaxed structure of KCoPb3.

Computed properties:
**Density of states at the Fermi level**: 1.32 states/eV per atom
**Energy relative to the elements**: 0.16 eV per atom

Cell lengths 5.284, 5.284, 5.284 Å; angles 90.00, 90.00, 90.00 degrees
Space group Pm-3m (No. 221)
Symmetry-distinct sites (fractional):
1 K 0.000 0.000 0.000 (multiplicity 1)
2 Co 0.500 0.500 0.500 (multiplicity 1)
3 Pb 0.000 0.500 0.500 (multiplicity 3)



| no. | spin magnetization (μB per cell) |
| --- | --- |
| 1 | 0.000 |
| 2 | 0.542 |
| 3 | 0.000 |
| 4 | 1.717 |